# 1
VASP calculation (PBE) on a relaxed Tb2Tm6MgSc3 crystal.

Properties
Crystal system: monoclinic
Energy relative to the elements in eV per atom: 0.045

abc: 5.9434 5.9434 11.3042
angles: 95.06 95.06 120.01
With the nearest neighbours (Å) after each atom.
Atoms (fractional coordinates):
Mg (0.0000, 0.0000, 0.0000)  6 Tb 3.43, 6 Tm 3.49-3.50
Tb (0.3334, 0.6666, 0.0000)  3 Mg 3.43, 3 Tb 3.43, 6 Tm 3.49
Sc (0.8346, 0.1654, 0.5000)  6 Tm 3.33-3.35, 6 Sc 3.41-3.44
Tm (0.7521, 0.7521, 0.2583)  3 Sc 3.33-3.34, 6 Tm 3.43, 2 Tb 3.49, 1 Mg 3.50
Tm (0.0855, 0.4188, 0.2582)  3 Sc 3.34-3.35, 6 Tm 3.43, 1 Mg 3.49, 2 Tb 3.49
Tm (0.2479, 0.2479, 0.7417)  3 Sc 3.33-3.34, 6 Tm 3.43, 2 Tb 3.49, 1 Mg 3.50
Sc (0.5000, 0.5000, 0.5000)  6 Tm 3.34, 6 Sc 3.42-3.44
Tb (0.6666, 0.3334, 0.0000)  3 Mg 3.43, 3 Tb 3.43, 6 Tm 3.49
Sc (0.1654, 0.8346, 0.5000)  6 Tm 3.33-3.35, 6 Sc 3.41-3.44
Tm (0.9145, 0.5812, 0.7418)  3 Sc 3.34-3.35, 6 Tm 3.43, 1 Mg 3.49, 2 Tb 3.49
Tm (0.4188, 0.0855, 0.2582)  3 Sc 3.34-3.35, 6 Tm 3.43, 1 Mg 3.49, 2 Tb 3.49
Tm (0.5812, 0.9145, 0.7418)  3 Sc 3.34-3.35, 6 Tm 3.43, 1 Mg 3.49, 2 Tb 3.49

***

# 2
VASP calculation (PBE) on a relaxed TiBiMo3 crystal.

Properties
Crystal system: cubic
Energy relative to the elements in eV per atom: 1.382

abc: 4.6830 4.6830 4.6830
angles: 90.00 90.00 90.00
With the nearest neighbours (Å) after each atom.
Atoms (fractional coordinates):
Ti (0.0000, 0.0000, 0.0000)  6 Mo 2.34
Mo (0.5000, 0.0000, 0.0000)  2 Ti 2.34
Mo (0.0000, 0.0000, 0.5000)  2 Ti 2.34
Bi (0.5000, 0.5000, 0.5000)  12 Mo 3.31
Mo (0.0000, 0.5000, 0.0000)  2 Ti 2.34

***

# 3
VASP calculation (PBE) on a relaxed TaTlRe2Cl crystal.

Properties
Crystal system: tetragonal
Formation energy (no corrections) in eV/atom: 1.501

abc: 4.4569 4.5326 4.4569
angles: 90.00 90.00 90.00
With the nearest neighbours (Å) after each atom.
Atoms (fractional coordinates):
Re (0.0000, 0.0000, 0.5000)  2 Cl 2.23
Tl (0.5000, 0.5000, 0.5000)  4 Ta 3.15, 8 Re 3.18
Cl (0.0000, 0.0000, 0.0000)  4 Re 2.23, 2 Ta 2.27
Ta (0.0000, 0.5000, 0.0000)  2 Cl 2.27
Re (0.5000, 0.0000, 0.0000)  2 Cl 2.23

***

# 4
VASP calculation (PBE) on a relaxed Ac2TmV crystal.

Properties
Crystal system: trigonal
Energy relative to the elements in eV per atom: 0.763

abc: 3.6629 3.6629 12.2568
angles: 81.41 81.41 60.00
With the nearest neighbours (Å) after each atom.
Atoms (fractional coordinates):
V (0.0000, 0.0000, 0.0000)  2 Ac 3.02
Ac (0.9167, 0.9167, 0.2500)  1 V 3.02
Tm (0.5000, 0.5000, 0.5000)  6 Tm 3.66, 6 Ac 3.69
Ac (0.0833, 0.0833, 0.7500)  1 V 3.02